1.
A geometry-optimized Y3Ho3Th structure. Source: Alexandria via LeMat-Bulk, functional PBE.

Unit cell a=5.685 b=9.560 c=9.560 alpha=120.00 beta=90.00 gamma=90.00
Fractional positions:
Y  0.250  0.812  0.758
Y  0.250  0.242  0.054
Y  0.250  0.946  0.188
Y  0.750  0.188  0.242
Y  0.750  0.758  0.946
Y  0.750  0.054  0.812
Ho  0.750  0.615  0.519
Ho  0.750  0.481  0.096
Ho  0.750  0.904  0.385
Ho  0.250  0.385  0.481
Ho  0.250  0.519  0.904
Ho  0.250  0.096  0.615
Th  0.250  0.667  0.333
Th  0.750  0.333  0.667

Crystal system ... hexagonal
Relative energy among the computed polymorphs ... 0 meV per atom



2.
A geometry-optimized Y7HoTh2 structure. Source: Alexandria via LeMat-Bulk, functional PBE.

Unit cell a=6.187 b=9.464 c=6.176 alpha=109.12 beta=80.29 gamma=77.31
Fractional positions:
Y  0.002  0.799  0.404
Y  0.998  0.201  0.596
Y  0.004  0.600  0.791
Y  0.996  0.400  0.209
Y  0.501  0.901  0.201
Y  0.499  0.099  0.799
Y  0.500  0.500  0.000
Ho  0.000  0.000  0.000
Th  0.496  0.698  0.603
Th  0.504  0.302  0.397

Crystal system ... triclinic



3.
A geometry-optimized Y7Ho4Th structure. Source: Alexandria via LeMat-Bulk, functional PBE.

Unit cell a=5.914 b=11.569 c=6.739 alpha=83.38 beta=63.97 gamma=75.19
Fractional positions:
Y  0.787  0.923  0.504
Y  0.213  0.077  0.496
Y  0.060  0.677  0.203
Y  0.940  0.323  0.797
Y  0.366  0.501  0.766
Y  0.500  0.000  0.000
Y  0.634  0.499  0.234
Ho  0.639  0.225  0.497
Ho  0.361  0.775  0.503
Ho  0.755  0.681  0.810
Ho  0.245  0.319  0.190
Th  0.000  0.000  0.000

Crystal system ... monoclinic



4.
A geometry-optimized Y3Ho2Th4 structure. Source: Alexandria via LeMat-Bulk, functional PBE.

Unit cell a=5.043 b=7.950 c=14.629 alpha=144.11 beta=90.00 gamma=108.49
Fractional positions:
Y  0.555  0.110  0.669
Y  0.000  0.000  0.000
Y  0.445  0.890  0.331
Ho  0.773  0.547  0.333
Ho  0.227  0.453  0.667
Th  0.665  0.330  0.996
Th  0.335  0.670  0.004
Th  0.890  0.780  0.667
Th  0.110  0.220  0.333

Crystal system ... monoclinic



5.
A geometry-optimized Y12Ho7Th structure. Source: Alexandria via LeMat-Bulk, functional PBE.

Unit cell a=9.779 b=9.779 c=9.779 alpha=109.47 beta=109.47 gamma=109.47
Fractional positions:
Y  0.504  0.752  0.752
Y  0.999  0.752  0.248
Y  0.496  0.248  0.248
Y  0.001  0.248  0.752
Y  0.752  0.001  0.248
Y  0.752  0.504  0.752
Y  0.248  0.999  0.752
Y  0.248  0.496  0.248
Y  0.752  0.752  0.504
Y  0.248  0.248  0.496
Y  0.752  0.248  0.999
Y  0.248  0.752  0.001
Ho  0.500  0.500  0.000
Ho  0.000  0.500  0.500
Ho  0.500  0.000  0.500
Ho  0.500  0.500  0.500
Ho  0.000  0.000  0.500
Ho  0.500  0.000  0.000
Ho  0.000  0.500  0.000
Th  0.000  0.000  0.000

Crystal system ... cubic



6.
A geometry-optimized Y9Ho2Th structure. Source: Alexandria via LeMat-Bulk, functional PBE.

Unit cell a=5.051 b=5.051 c=15.116 alpha=90.00 beta=90.00 gamma=90.00
Fractional positions:
Y  0.500  0.500  0.000
Y  0.500  0.500  0.335
Y  0.500  0.500  0.665
Y  0.500  0.000  0.165
Y  0.500  0.000  0.500
Y  0.500  0.000  0.835
Y  0.000  0.500  0.165
Y  0.000  0.500  0.500
Y  0.000  0.500  0.835
Ho  0.000  0.000  0.333
Ho  0.000  0.000  0.667
Th  0.000  0.000  0.000

Crystal system ... tetragonal



7.
A geometry-optimized Y2Ho5Th2 structure. Source: Alexandria via LeMat-Bulk, functional PBE.

Unit cell a=11.862 b=6.605 c=10.049 alpha=109.19 beta=126.17 gamma=90.00
Fractional positions:
Y  0.127  0.674  0.250
Y  0.873  0.424  0.750
Y  0.623  0.174  0.250
Y  0.377  0.924  0.750
Ho  0.204  0.660  0.894
Ho  0.796  0.766  0.106
Ho  0.190  0.160  0.894
Ho  0.810  0.266  0.106
Ho  0.368  0.050  0.285
Ho  0.632  0.765  0.715
Ho  0.417  0.550  0.285
Ho  0.583  0.265  0.715
Ho  0.018  0.650  0.500
Ho  0.982  0.150  0.500
Th  0.000  0.018  0.000
Th  0.500  0.518  0.000
Th  0.249  0.330  0.500
Th  0.751  0.830  0.500

Crystal system ... orthorhombic
Relative energy among the computed polymorphs ... 0 meV per atom



8.
A geometry-optimized Y7Ho12Th structure. Source: Alexandria via LeMat-Bulk, functional PBE.

Unit cell a=9.789 b=9.789 c=9.789 alpha=109.47 beta=109.47 gamma=109.47
Fractional positions:
Y  0.500  0.500  0.000
Y  0.000  0.500  0.500
Y  0.500  0.000  0.500
Y  0.500  0.500  0.500
Y  0.000  0.000  0.500
Y  0.500  0.000  0.000
Y  0.000  0.500  0.000
Ho  0.553  0.776  0.777
Ho  0.000  0.776  0.223
Ho  0.447  0.224  0.223
Ho  0.000  0.224  0.777
Ho  0.777  0.000  0.224
Ho  0.777  0.553  0.776
Ho  0.223  0.000  0.776
Ho  0.223  0.447  0.224
Ho  0.776  0.777  0.553
Ho  0.224  0.223  0.447
Ho  0.776  0.223  0.000
Ho  0.224  0.777  0.000
Th  0.000  0.000  0.000

Crystal system ... cubic
Relative energy among the computed polymorphs ... 532 meV per atom



What magnetic moment values result from the calculations? In sequence: 0.00, 0.00, 0.00, 0.00, 0.00, 0.00, 0.00, 0.00 μB/f.u..
What E values result from the calculations? In sequence: -80.8, -64.3, -67.1, -57.9, -102.2, -74.4, -97.0, -92.4 eV for the cell shown.
What E_form values result from the calculations? In sequence: 0.019, 0.032, 0.325, 0.036, 0.741, 0.033, 0.238, 0.763 eV per atom.